Density functional theory data (PBE) for an optimized crystal structure of Tl3ZnI.

a = 6.4641 Å, b = 6.4641 Å, c = 6.4641 Å
α = 90.00°, β = 90.00°, γ = 90.00°
Positions (direct):
I: 0.0000 0.0000 0.0000
Tl: 0.0000 0.5000 0.0000
Tl: 0.0000 0.0000 0.5000
Tl: 0.5000 0.0000 0.0000
Zn: 0.5000 0.5000 0.5000

Summary:
Distance to the lowest polymorph of the same formula (eV per atom): 0.396
Fermi-level density of states (states/eV/f.u.): 4.1